Material: Rb2BeCoSn
Method: DFT, GGA-PBEsol
State: optimized geometry

Cell: 6.3325 6.3325 4.0743 Å, 90.00 90.00 90.00°
Last column: nearest neighbours and their distance in Å.
Fractional positions:
Rb 0.0000 0.5000 0.0000  2 Co 3.17
Rb 0.5000 0.0000 0.0000  2 Co 3.17
Be 0.0000 0.0000 0.5000  2 Co 2.04
Co 0.0000 0.0000 0.0000  2 Be 2.04
Sn 0.5000 0.5000 0.5000  8 Rb 3.76, 2 Sn 4.07

Values from the calculation:
Volume, A^3/atom: 32.676
Formation energy from the elements, eV per atom: 0.974
ρ, Mg/m³: 3.63